! PBE-GGA LaRuBr2, optimized geometry; values from VASP
&SYSTEM
  ibrav = 0, nat = 4, ntyp = 3
/
ATOMIC_SPECIES
La 138.91 La.upf
Br 79.90 Br.upf
Ru 101.07 Ru.upf
CELL_PARAMETERS angstrom
-1.539 -3.250 -0.679
3.235 0.162 1.703
-4.168 0.325 7.886
ATOMIC_POSITIONS angstrom
La -0.194 -1.463 2.483
Br -2.187 0.171 4.138
Br -4.064 0.317 7.691
Ru -2.278 -1.300 6.426
! Offset from the most stable computed form ... 3.11 eV/f.u.
! Density of states at the Fermi level ... 3.69 states/eV/f.u.
! Calculated volume ... 25.9 Å³/atom
! Magnetic moment ... 2.51 Bohr magnetons per cell